CsSmCr2O8 | PBE+U | relaxed

```
data_CsSmCr2O8
_chemical_formula_sum 'Cs1 Sm1 Cr2 O8'
_symmetry_space_group_name_H-M 'P -3'
_symmetry_Int_Tables_number 147
_cell_length_a 5.8886
_cell_length_b 5.8886
_cell_length_c 8.5241
_cell_angle_alpha 90.00
_cell_angle_beta 90.00
_cell_angle_gamma 120.00
loop_
_symmetry_equiv_pos_as_xyz
'x,y,z'
'-x,-y,-z'
'-y,x-y,z'
'y,-x+y,-z'
'-x+y,-x,z'
'x-y,x,-z'
loop_
_atom_site_label
_atom_site_type_symbol
_atom_site_fract_x
_atom_site_fract_y
_atom_site_fract_z
Cs1 Cs 0.0000 0.0000 0.0000
Sm1 Sm 0.0000 0.0000 0.5000
Cr1 Cr 0.3333 0.6667 0.7332
O1 O 0.1707 0.3558 0.6687
O2 O 0.3333 0.6667 0.9237
```

Output
- V: 21.33 Å³ per atom
- Total magnetization: 0.0 μB/f.u.
- Calculated total energy: -0.509 Ry/atom